! ZnAuC PBE relaxed; values from VASP
&SYSTEM
  ibrav = 0, nat = 6, ntyp = 3
/
ATOMIC_SPECIES
Zn 65.41 Zn.upf
Au 196.97 Au.upf
C 12.01 C.upf
CELL_PARAMETERS angstrom
3.318 0.000 0.000
-1.641 4.514 0.000
-1.633 -1.600 6.509
ATOMIC_POSITIONS crystal
Zn 0.000 0.000 0.000
Zn 0.223 0.832 0.608
Au 0.233 0.548 0.912
Au 0.820 0.421 0.225
C 0.849 0.101 0.594
C 0.928 0.338 0.517
! D(E_F) = 0.2276 states/eV/atom
! Relative energy among the computed polymorphs = 31.4 meV per atom
! Crystal system = triclinic
! E_form = 1.583 eV/f.u.